Compound: K4TlAg
Source: the Alexandria database
Functional: PBE-GGA
Structure: relaxed

Unit cell a=11.5705 b=11.5705 c=11.5705 alpha=60.00 beta=60.00 gamma=60.00
Fractional positions:
K (0.3934, 0.3934, 0.3934)
K (0.8199, 0.3934, 0.3934)
K (0.3934, 0.8199, 0.3934)
K (0.3934, 0.3934, 0.8199)
K (0.5463, 0.5463, 0.9537)
K (0.9537, 0.9537, 0.5463)
K (0.5463, 0.9537, 0.5463)
K (0.9537, 0.5463, 0.9537)
K (0.9537, 0.5463, 0.5463)
K (0.5463, 0.9537, 0.9537)
K (0.1952, 0.1952, 0.8048)
K (0.8048, 0.8048, 0.1952)
K (0.1952, 0.8048, 0.1952)
K (0.8048, 0.1952, 0.8048)
K (0.8048, 0.1952, 0.1952)
K (0.1952, 0.8048, 0.8048)
Tl (0.1757, 0.1757, 0.1757)
Tl (0.4729, 0.1757, 0.1757)
Tl (0.1757, 0.4729, 0.1757)
Tl (0.1757, 0.1757, 0.4729)
Ag (0.6069, 0.6069, 0.6069)
Ag (0.1794, 0.6069, 0.6069)
Ag (0.6069, 0.1794, 0.6069)
Ag (0.6069, 0.6069, 0.1794)

Calculated values
energy of formation = -0.106 eV/f.u.
space-group type = F-43m